1.
Material: PrTmMg2Au4
Method: DFT, PBE
State: relaxed

a b c (Å): 8.8908 8.8908 8.8908
angles (deg): 31.76 31.76 31.76
Atoms (fractional coordinates):
Pr (0.0000, 0.0000, 0.0000)
Tm (0.5000, 0.5000, 0.5000)
Mg (0.2462, 0.2462, 0.2462)
Mg (0.7538, 0.7538, 0.7538)
Au (0.1265, 0.1265, 0.1265)
Au (0.3861, 0.3861, 0.3861)
Au (0.6139, 0.6139, 0.6139)
Au (0.8735, 0.8735, 0.8735)

Results
Calculated total energy   -3.948 eV/atom
Space group   R-3m

***

2.
Material: PrYMg2Au4
Method: DFT, PBE
State: relaxed

a b c (Å): 8.6186 8.6186 8.6186
angles (deg): 33.62 33.62 33.62
Atoms (fractional coordinates):
Pr (0.0000, 0.0000, 0.0000)
Y (0.5000, 0.5000, 0.5000)
Mg (0.2489, 0.2489, 0.2489)
Mg (0.7511, 0.7511, 0.7511)
Au (0.1289, 0.1289, 0.1289)
Au (0.3789, 0.3789, 0.3789)
Au (0.6211, 0.6211, 0.6211)
Au (0.8711, 0.8711, 0.8711)

Results
Calculated total energy   -4.191 eV/atom
Space group   R-3m

***

3.
Material: PrMgZn5Au2
Method: DFT, PBE
State: relaxed

a b c (Å): 4.8865 4.8865 7.7528
angles (deg): 90.00 90.00 90.00
Atoms (fractional coordinates):
Pr (0.0000, 0.0000, 0.0000)
Mg (0.0000, 0.0000, 0.5000)
Zn (0.0000, 0.5000, 0.2484)
Zn (0.0000, 0.5000, 0.7516)
Zn (0.5000, 0.0000, 0.2484)
Zn (0.5000, 0.0000, 0.7516)
Zn (0.5000, 0.5000, 0.0000)
Au (0.5000, 0.5000, 0.3273)
Au (0.5000, 0.5000, 0.6726)

Results
Calculated total energy   -2.256 eV/atom
Space group   P4/mmm

***

4.
Material: PrMgZn2Au4
Method: DFT, PBE
State: relaxed

a b c (Å): 9.2477 9.2477 9.2477
angles (deg): 28.41 28.41 28.41
Atoms (fractional coordinates):
Pr (0.0000, 0.0000, 0.0000)
Mg (0.5000, 0.5000, 0.5000)
Zn (0.2408, 0.2408, 0.2408)
Zn (0.7592, 0.7592, 0.7592)
Au (0.1281, 0.1281, 0.1281)
Au (0.3972, 0.3972, 0.3972)
Au (0.6028, 0.6028, 0.6028)
Au (0.8719, 0.8719, 0.8719)

Results
Calculated total energy   -3.267 eV/atom
Space group   R-3m

***

5.
Material: PrMg2Zn2Au2
Method: DFT, PBE
State: relaxed

a b c (Å): 8.6106 8.6106 8.6106
angles (deg): 30.57 30.57 30.57
Atoms (fractional coordinates):
Pr (0.0000, 0.0000, 0.0000)
Mg (0.1339, 0.1339, 0.1339)
Mg (0.8661, 0.8661, 0.8661)
Zn (0.2554, 0.2554, 0.2554)
Zn (0.7446, 0.7446, 0.7446)
Au (0.4201, 0.4201, 0.4201)
Au (0.5799, 0.5799, 0.5799)

Results
Calculated total energy   -2.879 eV/atom
Space group   R-3m

***

6.
Material: PrMg2ZnAu4
Method: DFT, PBE
State: relaxed

a b c (Å): 9.2542 9.2542 9.2542
angles (deg): 28.79 28.79 28.79
Atoms (fractional coordinates):
Pr (0.0000, 0.0000, 0.0000)
Mg (0.2376, 0.2376, 0.2376)
Mg (0.7624, 0.7624, 0.7624)
Zn (0.5000, 0.5000, 0.5000)
Au (0.1294, 0.1294, 0.1294)
Au (0.3976, 0.3976, 0.3976)
Au (0.6024, 0.6024, 0.6024)
Au (0.8706, 0.8706, 0.8706)

Results
Calculated total energy   -3.361 eV/atom
Space group   R-3m

***

7.
Material: Pr2MgZn4Au3
Method: DFT, PBE
State: relaxed

a b c (Å): 4.1850 4.1850 11.9825
angles (deg): 90.00 90.00 90.00
Atoms (fractional coordinates):
Pr (0.0000, 0.5000, 0.2433)
Pr (0.5000, 0.0000, 0.7567)
Mg (0.0000, 0.0000, 0.5000)
Zn (0.0000, 0.0000, 0.0000)
Zn (0.0000, 0.5000, 0.6438)
Zn (0.5000, 0.0000, 0.3562)
Zn (0.5000, 0.5000, 0.0000)
Au (0.0000, 0.5000, 0.8608)
Au (0.5000, 0.0000, 0.1392)
Au (0.5000, 0.5000, 0.5000)

Results
Calculated total energy   -3.112 eV/atom
Space group   P-4m2

***

8.
Material: Pr2MgZn3Au4
Method: DFT, PBE
State: relaxed

a b c (Å): 4.2556 4.2556 11.7539
angles (deg): 90.00 90.00 90.00
Atoms (fractional coordinates):
Pr (0.0000, 0.5000, 0.2360)
Pr (0.5000, 0.0000, 0.7640)
Mg (0.0000, 0.0000, 0.5000)
Zn (0.0000, 0.5000, 0.8666)
Zn (0.5000, 0.0000, 0.1334)
Zn (0.5000, 0.5000, 0.5000)
Au (0.0000, 0.0000, 0.0000)
Au (0.0000, 0.5000, 0.6471)
Au (0.5000, 0.0000, 0.3529)
Au (0.5000, 0.5000, 0.0000)

Results
Calculated total energy   -3.351 eV/atom
Space group   P-4m2

***

> Which value of calculated total energy does entry 2 give?

-4.191 eV/atom